# ZrRe2Si

A relaxed structure of ZrRe2Si (PBE, the Alexandria database).

Output
Crystal system   tetragonal
SG   No. 123
Density of states at the Fermi level   1.22 states/eV/atom
Formation energy (no corrections)   -0.119 eV/atom
Total magnetization   0.0 μB per formula unit

a = 3.2123 Å, b = 3.2123 Å, c = 6.1616 Å
α = 90.00°, β = 90.00°, γ = 90.00°
Last column: nearest neighbours and their distance in Å.
Positions (direct):
1 Zr 0.0000 0.0000 0.0000  8 Re 2.85, 2 Si 3.08
2 Re 0.5000 0.5000 0.2800  4 Si 2.65, 1 Re 2.71, 4 Zr 2.85
3 Re 0.5000 0.5000 0.7200  4 Si 2.65, 1 Re 2.71, 4 Zr 2.85
4 Si 0.0000 0.0000 0.5000  8 Re 2.65

# ZrTe2Ir

A relaxed structure of ZrTe2Ir (PBE, the Alexandria database).

Output
Crystal system   tetragonal
SG   No. 122
Density of states at the Fermi level   1.13 states/eV/atom
Relative energy among the computed polymorphs   678 meV/atom
Formation energy (no corrections)   0.044 eV/atom
Total magnetization   0.0 μB per formula unit

a = 7.4857 Å, b = 7.4857 Å, c = 7.4857 Å
α = 129.96°, β = 129.96°, γ = 73.47°
Last column: nearest neighbours and their distance in Å.
Positions (direct):
1 Zr 0.0000 0.0000 0.0000  4 Te 2.82
2 Zr 0.7500 0.2500 0.5000  4 Te 2.82
3 Te 0.1572 0.6250 0.0322  2 Ir 2.58, 2 Zr 2.82
4 Te 0.3750 0.4072 0.5322  2 Ir 2.58, 2 Zr 2.82
5 Te 0.5928 0.1250 0.9678  2 Ir 2.58, 2 Zr 2.82
6 Te 0.8750 0.8428 0.4678  2 Ir 2.58, 2 Zr 2.82
7 Ir 0.2500 0.7500 0.5000  4 Te 2.58
8 Ir 0.5000 0.5000 0.0000  4 Te 2.58

# Zr2NiPt

A relaxed structure of Zr2NiPt (PBE, the Alexandria database).

Output
Crystal system   trigonal
SG   No. 166
Density of states at the Fermi level   0.79 states/eV/atom
Energy relative to the elements   -0.4323 eV/atom
Total magnetization   0.0 μB per formula unit

a = 7.2418 Å, b = 7.2418 Å, c = 7.2418 Å
α = 28.73°, β = 28.73°, γ = 28.73°
Last column: nearest neighbours and their distance in Å.
Positions (direct):
1 Zr 0.2451 0.2451 0.2451  3 Ni 2.64, 3 Pt 2.77
2 Zr 0.7549 0.7549 0.7549  3 Ni 2.64, 3 Pt 2.77
3 Ni 0.5000 0.5000 0.5000  6 Zr 2.64
4 Pt 0.0000 0.0000 0.0000  6 Zr 2.77

# KIrRu2Pb

A relaxed structure of KIrRu2Pb (PBE, the Alexandria database).

Output
Crystal system   tetragonal
SG   No. 123
Density of states at the Fermi level   1.49 states/eV/atom
Energy relative to the elements   1.8258 eV/atom
Total magnetization   3.9 μB per formula unit

a = 5.1498 Å, b = 5.1498 Å, c = 5.1207 Å
α = 90.00°, β = 90.00°, γ = 90.00°
Last column: nearest neighbours and their distance in Å.
Positions (direct):
1 K 0.0000 0.0000 0.0000  8 Ru 3.63, 4 Ir 3.64
2 Ir 0.5000 0.5000 0.0000  2 Pb 2.56
3 Ru 0.0000 0.5000 0.5000  2 Pb 2.57
4 Ru 0.5000 0.0000 0.5000  2 Pb 2.57
5 Pb 0.5000 0.5000 0.5000  2 Ir 2.56, 4 Ru 2.57

# Cs2TlAgAu

A relaxed structure of Cs2TlAgAu (PBE, the Alexandria database).

Output
Crystal system   tetragonal
SG   No. 123
Density of states at the Fermi level   1.00 states/eV/atom
Relative energy among the computed polymorphs   37 meV/atom
Energy relative to the elements   0.0795 eV/atom
Total magnetization   0.1 μB per formula unit

a = 6.8249 Å, b = 6.8249 Å, c = 5.3221 Å
α = 90.00°, β = 90.00°, γ = 90.00°
Last column: nearest neighbours and their distance in Å.
Positions (direct):
1 Cs 0.0000 0.5000 0.0000  2 Au 3.41
2 Cs 0.5000 0.0000 0.0000  2 Au 3.41
3 Tl 0.0000 0.0000 0.5000  8 Cs 4.33, 4 Ag 4.83
4 Ag 0.5000 0.5000 0.5000  2 Au 2.66
5 Au 0.5000 0.5000 0.0000  2 Ag 2.66

# HfTiAl3

A relaxed structure of HfTiAl3 (PBE, the Alexandria database).

Output
Crystal system   tetragonal
SG   No. 107
Density of states at the Fermi level   0.86 states/eV/atom
Relative energy among the computed polymorphs   0 meV/atom
Energy relative to the elements   -0.0082 eV/atom
Total magnetization   0.0 μB per formula unit

a = 6.9489 Å, b = 6.9489 Å, c = 6.9489 Å
α = 148.08°, β = 148.08°, γ = 45.76°
Last column: nearest neighbours and their distance in Å.
Positions (direct):
1 Hf 0.0000 0.0000 0.0000  4 Al 2.85, 4 Ti 3.17
2 Ti 0.6291 0.6291 0.0000  5 Al 2.56-2.73
3 Al 0.2817 0.7817 0.5000  6 Al 2.68-2.70, 2 Ti 2.73
4 Al 0.4289 0.4289 0.0000  1 Ti 2.56, 4 Al 2.68, 4 Hf 2.85
5 Al 0.7817 0.2817 0.5000  6 Al 2.68-2.70, 2 Ti 2.73

# HfBe3Ni

A relaxed structure of HfBe3Ni (PBE, the Alexandria database).

Output
Crystal system   cubic
SG   No. 221
Density of states at the Fermi level   1.05 states/eV/atom
Relative energy among the computed polymorphs   2106 meV/atom
Energy relative to the elements   2.0901 eV/atom
Total magnetization   0.0 μB per formula unit

a = 4.5689 Å, b = 4.5689 Å, c = 4.5689 Å
α = 90.00°, β = 90.00°, γ = 90.00°
Last column: nearest neighbours and their distance in Å.
Positions (direct):
1 Hf 0.0000 0.0000 0.0000  6 Be 2.28
2 Be 0.0000 0.0000 0.5000  2 Hf 2.28
3 Be 0.0000 0.5000 0.0000  2 Hf 2.28
4 Be 0.5000 0.0000 0.0000  2 Hf 2.28
5 Ni 0.5000 0.5000 0.5000  12 Be 3.23

# TeHPdPb2

A relaxed structure of TeHPdPb2 (PBE, the Alexandria database).

Output
Crystal system   tetragonal
SG   No. 123
Density of states at the Fermi level   0.48 states/eV/atom
Total magnetization   0.0 μB per formula unit
DFT total energy   -3.91 eV per atom

a = 5.6812 Å, b = 5.6812 Å, c = 3.5498 Å
α = 90.00°, β = 90.00°, γ = 90.00°
Last column: nearest neighbours and their distance in Å.
Positions (direct):
1 Te 0.0000 0.0000 0.0000  8 Pb 3.35, 2 Te 3.55
2 H 0.5000 0.5000 0.0000  2 Pd 1.77
3 Pd 0.5000 0.5000 0.5000  2 H 1.77
4 Pb 0.0000 0.5000 0.5000  2 Pd 2.84
5 Pb 0.5000 0.0000 0.5000  2 Pd 2.84

> Which value of total magnetization does entry 8 give?

0.0 μB per formula unit